Computed, not measured: an optimized crystal structure of ScFeRe2 at the PBE level of DFT.

Cell and atoms, written as CIF:
```
data_ScFeRe2
_cell_length_a 9.121
_cell_length_b 9.121
_cell_length_c 9.121
_cell_angle_alpha 17.68
_cell_angle_beta 17.68
_cell_angle_gamma 17.68
_space_group_name_H-M_alt 'P 1'
_space_group_IT_number 1
loop_
_space_group_symop_operation_xyz
'x,y,z'
loop_
_atom_site_label
_atom_site_fract_x
_atom_site_fract_y
_atom_site_fract_z
Re1 0.008 0.008 0.008
Re2 0.492 0.492 0.492
Sc1 0.250 0.250 0.250
Fe1 0.750 0.750 0.750
```

E above lowest polymorph: 294 meV/atom
Uncorrected energy: -0.3554 Ha/atom
Size of the total moment: 1.7 μB per formula unit
V: 61 Å³ per cell
Space group: No. 166

Computed, not measured: an optimized crystal structure of ScFe3Re at the PBE level of DFT.

Cell and atoms, written as CIF:
```
data_ScFe3Re
_cell_length_a 4.464
_cell_length_b 4.464
_cell_length_c 4.464
_cell_angle_alpha 90.00
_cell_angle_beta 90.00
_cell_angle_gamma 90.00
_space_group_name_H-M_alt 'P 1'
_space_group_IT_number 1
loop_
_space_group_symop_operation_xyz
'x,y,z'
loop_
_atom_site_label
_atom_site_fract_x
_atom_site_fract_y
_atom_site_fract_z
Fe1 0.500 0.000 0.000
Re1 0.000 0.000 0.000
Fe2 0.000 0.500 0.000
Sc1 0.500 0.500 0.500
Fe3 0.000 0.000 0.500
```

E above lowest polymorph: 0 meV/atom
Uncorrected energy: -0.2887 Ha/atom
Size of the total moment: 3.7 μB per formula unit
V: 89 Å³ per cell
Space group: No. 221